Record 1
A geometry-optimized TmTh5Sc3 structure. Source: the Alexandria database, functional PBE.

Calculated values
Formation enthalpy at 0 K (eV/atom): 0.39
Space-group type: I4/mcm, No. 140

abc: 8.7497 8.7497 9.4684
angles: 117.52 117.52 90.00
Fractional coordinates of all 18 atoms:
Th 0.4127 0.3456 0.2583
Th 0.9127 0.4127 0.2583
Th 0.5000 0.5000 0.0000
Th 0.3456 0.8456 0.2583
Th 0.6544 0.1544 0.7417
Th 0.0873 0.5873 0.7417
Th 0.8456 0.9127 0.2583
Th 0.0000 0.0000 0.0000
Th 0.1544 0.0873 0.7417
Th 0.5873 0.6544 0.7417
Sc 0.9010 0.5990 0.0000
Sc 0.5990 0.0990 0.0000
Sc 0.2500 0.2500 0.5000
Sc 0.0990 0.4010 0.0000
Sc 0.4010 0.9010 0.0000
Sc 0.7500 0.7500 0.5000
Tm 0.2500 0.7500 0.5000
Tm 0.7500 0.2500 0.5000

=====

Record 2
A geometry-optimized Th4TcBiSe2 structure. Source: the Alexandria database, functional PBE.

Calculated values
Formation energy without anion corrections (eV/f.u.): -7.1
Space-group type: P2/m, No. 10

abc: 4.2217 7.4804 7.7857
angles: 71.43 90.00 90.00
Fractional coordinates of all 8 atoms:
Se 0.0000 0.0000 0.0000
Se 0.5000 0.0000 0.5000
Th 0.5000 0.7247 0.2859
Th 0.0000 0.7497 0.7155
Th 0.0000 0.2503 0.2845
Th 0.5000 0.2753 0.7141
Tc 0.0000 0.5000 0.5000
Bi 0.5000 0.5000 0.0000

=====

Record 3
A geometry-optimized Nd2SiIr structure. Source: the Alexandria database, functional PBE.

Calculated values
Formation energy without anion corrections (eV/f.u.): -2.9
Space-group type: P2_1/m, No. 11

abc: 4.2746 5.6404 8.8203
angles: 113.85 90.00 90.00
Fractional coordinates of all 8 atoms:
Nd 0.2500 0.7944 0.5699
Nd 0.7500 0.2133 0.9204
Nd 0.7500 0.2056 0.4301
Nd 0.2500 0.7867 0.0796
Ir 0.2500 0.3859 0.7219
Ir 0.7500 0.6141 0.2781
Si 0.7500 0.6230 0.7823
Si 0.2500 0.3770 0.2177

=====

Record 4
A geometry-optimized TlPbAuSe2 structure. Source: the Alexandria database, functional PBE.

Calculated values
Formation energy without anion corrections (eV/f.u.): -1.7
Space-group type: P2/c, No. 13

abc: 5.4445 7.5489 8.2677
angles: 108.65 90.00 90.00
Fractional coordinates of all 10 atoms:
Tl 0.1791 0.5000 0.7500
Tl 0.8209 0.5000 0.2500
Se 0.7188 0.7367 0.9770
Se 0.2812 0.7367 0.4770
Se 0.7188 0.2633 0.5230
Se 0.2812 0.2633 0.0230
Au 0.0000 0.0000 0.0000
Au 0.0000 0.0000 0.5000
Pb 0.5712 0.0000 0.7500
Pb 0.4288 0.0000 0.2500

=====

Record 5
A geometry-optimized PtS2Cl8 structure. Source: the Alexandria database, functional PBE.

Calculated values
Formation energy without anion corrections (eV/f.u.): -1.6
Energy above the most stable polymorph in this dataset (meV per atom): 172
Space-group type: C2/m, No. 12

abc: 7.0271 8.1749 12.5774
angles: 135.16 90.00 115.45
Site moments in Bohr magnetons follow the coordinates.
Fractional coordinates of all 11 atoms:
Cl 0.9797 0.9594 0.3190  0.00
Cl 0.0203 0.0406 0.6810  0.00
Cl 0.3279 0.6559 0.6281  -0.01
Cl 0.6721 0.3441 0.3719  -0.01
Cl 0.9196 0.2985 0.0693  0.13
Cl 0.0804 0.7015 0.9307  0.13
Cl 0.6211 0.7015 0.9307  0.13
Cl 0.3789 0.2985 0.0693  0.13
Pt 0.0000 0.0000 0.0000  0.56
S 0.8535 0.7070 0.6299  -0.02
S 0.1465 0.2930 0.3701  -0.02

=====

Record 6
A geometry-optimized BaSr4Li structure. Source: the Alexandria database, functional PBE.

Calculated values
Energy above the most stable polymorph in this dataset (meV per atom): 186
Formation enthalpy at 0 K (eV/atom): 0.20
Space-group type: F-43m, No. 216

abc: 7.8714 7.8714 7.8714
angles: 60.00 60.00 60.00
Fractional coordinates of all 6 atoms:
Sr 0.3751 0.3751 0.3751
Sr 0.3751 0.8747 0.3751
Sr 0.8747 0.3751 0.3751
Sr 0.3751 0.3751 0.8747
Ba 0.7500 0.7500 0.7500
Li 0.0000 0.0000 0.0000

=====

Record 7
A geometry-optimized CaZnMo3 structure. Source: the Alexandria database, functional PBE.

Calculated values
Energy above the most stable polymorph in this dataset (meV per atom): 1079
Formation enthalpy at 0 K (eV/atom): 2.59
Space-group type: Pm-3m, No. 221

abc: 4.6240 4.6240 4.6240
angles: 90.00 90.00 90.00
Fractional coordinates of all 5 atoms:
Mo 0.5000 0.0000 0.0000
Mo 0.0000 0.0000 0.5000
Mo 0.0000 0.5000 0.0000
Zn 0.5000 0.5000 0.5000
Ca 0.0000 0.0000 0.0000

=====

Record 8
A geometry-optimized SrZn2Br structure. Source: the Alexandria database, functional PBE.

Calculated values
Formation energy without anion corrections (eV/f.u.): -1.5
Energy above the most stable polymorph in this dataset (meV per atom): 250
Space-group type: F-43m, No. 216

abc: 5.3237 5.3237 5.3237
angles: 60.00 60.00 60.00
Fractional coordinates of all 4 atoms:
Br 0.5000 0.5000 0.5000
Zn 0.2500 0.2500 0.2500
Zn 0.0000 0.0000 0.0000
Sr 0.7500 0.7500 0.7500